No. 1
Computed, not measured: an optimized crystal structure of Ho3Al2GaSi2Pt at the PBE level of DFT.

abc: 4.2142 11.8222 6.9406
angles: 90.00 90.00 90.00
Last column: nearest neighbours and their distance in Å.
Space group Amm2 (No. 38)
Inequivalent atoms, fractional coordinates:
Ho  0.0000  0.0000  0.0000 x2  1 Pt 2.84, 4 Si 2.96, 2 Ga 3.16
Ho  0.0000  0.2066  0.3679 x4  1 Pt 2.89, 4 Si 2.94-2.96, 2 Al 3.17, 2 Ga 3.23
Al  0.5000  0.1187  0.6994 x4  2 Pt 2.64, 2 Si 2.65-2.68, 1 Al 2.81, 1 Ga 2.87
Ga  0.5000  0.0000  0.3386 x2  2 Si 2.71, 2 Pt 2.74, 2 Al 2.87
Si  0.5000  0.1697  0.0752 x4  2 Al 2.65-2.68, 1 Ga 2.71, 6 Ho 2.94-2.96
Pt  0.0000  0.0000  0.5907 x2  4 Al 2.64, 2 Ga 2.74, 3 Ho 2.84-2.89

Total magnetic moment: 0.01 μB per cell
Theoretical density: 8.35 g/cm³
V: 19.21 Å³ per atom
Electronic total energy: -97.77 eV for the cell shown

***

No. 2
Computed, not measured: an optimized crystal structure of Ba2Cd2TeSO2 at the PBE level of DFT.

abc: 4.3522 4.3522 12.8997
angles: 90.00 90.00 120.00
Last column: nearest neighbours and their distance in Å.
Space group P3m1 (No. 156)
Inequivalent atoms, fractional coordinates:
Ba  0.0000  0.0000  0.0000 x1  3 O 2.60
Ba  0.3333  0.6667  0.4704 x1  3 O 2.60
Cd  0.6667  0.3333  0.2192 x1  1 O 2.15
Cd  0.6667  0.3333  0.6895 x1  1 O 2.15
Te  0.3333  0.6667  0.7874 x1  3 Cd 2.81
S  0.0000  0.0000  0.2837 x1  3 Cd 2.65
O  0.6667  0.3333  0.0524 x1  1 Cd 2.15
O  0.6667  0.3333  0.5226 x1  1 Cd 2.15

Theoretical density: 5.42 g/cm³
V: 26.45 Å³ per atom
Electronic total energy: -35.50 eV for the cell shown

***

No. 3
Computed, not measured: an optimized crystal structure of TaCdPtAu at the PBE level of DFT.

abc: 6.5760 6.5760 6.5760
angles: 90.00 90.00 90.00
Last column: nearest neighbours and their distance in Å.
Space group F-43m (No. 216)
Inequivalent atoms, fractional coordinates:
Ta  0.0000  0.0000  0.0000 x4  4 Pt 2.85, 4 Au 2.85
Cd  0.0000  0.0000  0.5000 x4  4 Pt 2.85, 4 Au 2.85
Pt  0.2500  0.2500  0.7500 x4  4 Cd 2.85, 4 Ta 2.85
Au  0.2500  0.2500  0.2500 x4  4 Cd 2.85, 4 Ta 2.85

Total magnetic moment: 0.00 μB per cell
Theoretical density: 16.01 g/cm³
V: 17.77 Å³ per atom
Electronic total energy: -90.85 eV for the cell shown